No. 1
The following is a GGA-PBE calculation of YInNiPt after structural relaxation, from OQMD via LeMat-Bulk.

Structure (POSCAR):
```
YInNiPt
1.0
0.0000 3.3487 3.3487
3.3487 0.0000 3.3487
3.3487 3.3487 0.0000
In Ni Pt Y
1 1 1 1
direct
0.0000 0.0000 0.0000
0.7500 0.7500 0.7500
0.2500 0.2500 0.2500
0.5000 0.5000 0.5000
```

---

No. 2
The following is a GGA-PBE calculation of SrCdSeO after structural relaxation, from OQMD via LeMat-Bulk.

Structure (POSCAR):
```
SrCdSeO
1.0
1.8206 -1.8751 3.1346
5.3039 -0.3502 -3.2899
2.8220 5.0120 4.0160
Cd O Se Sr
2 2 2 2
direct
0.8820 0.2500 0.2360
0.1180 0.7500 0.7640
0.0000 0.0000 0.0000
0.0000 0.5000 0.0000
0.2690 0.2500 0.4620
0.7310 0.7500 0.5380
0.4104 0.7500 0.1793
0.5896 0.2500 0.8207
```

---

No. 3
The following is a GGA-PBE calculation of PmZnSb after structural relaxation, from OQMD via LeMat-Bulk.

Structure (POSCAR):
```
PmZnSb
1.0
0.0000 3.4055 3.4055
3.4055 0.0000 3.4055
3.4055 3.4055 0.0000
Pm Sb Zn
1 1 1
direct
0.2500 0.2500 0.2500
0.7500 0.7500 0.7500
0.0000 0.0000 0.0000
```

---

No. 4
The following is a GGA-PBE calculation of YZr2P4 after structural relaxation, from OQMD via LeMat-Bulk.

Structure (POSCAR):
```
YZr2P4
1.0
-3.3340 3.3340 2.8675
3.3340 -3.3340 2.8675
3.3340 3.3340 -2.8675
P Y Zr
4 1 2
direct
0.6982 0.3018 0.0000
0.3018 0.6982 0.0000
0.6982 0.6982 0.3963
0.3018 0.3018 0.6037
0.0000 0.0000 0.0000
0.7500 0.2500 0.5000
0.2500 0.7500 0.5000
```

---

No. 5
The following is a GGA-PBE calculation of HfAsPd after structural relaxation, from OQMD via LeMat-Bulk.

Structure (POSCAR):
```
HfAsPd
1.0
7.0556 0.0001 0.0000
-3.5277 6.1103 0.0000
0.0000 0.0000 3.7392
As Hf Pd
3 3 3
direct
0.2875 0.0000 0.0000
0.0000 0.2875 0.0000
0.7125 0.7125 0.0000
0.6189 0.0000 0.5000
0.3811 0.3811 0.5000
0.0000 0.6189 0.5000
0.6667 0.3333 0.0000
0.3333 0.6667 0.0000
0.0000 0.0000 0.5000
```

---

No. 6
The following is a GGA-PBE calculation of Pr9Sb5O5 after structural relaxation, from OQMD via LeMat-Bulk.

Structure (POSCAR):
```
Pr9Sb5O5
1.0
-5.3751 8.2616 2.9410
-6.0206 -0.9684 -8.2831
-5.7451 -5.4513 4.8131
O Pr Sb
10 18 10
direct
0.2500 0.2500 0.0674
0.8710 0.0257 0.0904
0.6290 0.4743 0.0904
0.0257 0.6290 0.0904
0.4743 0.8710 0.0904
0.5257 0.1290 0.9096
0.9743 0.3710 0.9096
0.3710 0.5257 0.9096
0.1290 0.9743 0.9096
0.7500 0.7500 0.9326
0.8312 0.5234 0.0013
0.5234 0.6688 0.0013
0.9766 0.8312 0.0013
0.6688 0.9766 0.0013
0.2500 0.2500 0.3331
0.8536 0.0458 0.3459
0.6464 0.4542 0.3459
0.0458 0.6464 0.3459
0.4542 0.8536 0.3459
0.5458 0.1464 0.6541
0.9542 0.3536 0.6541
0.3536 0.5458 0.6541
0.1464 0.9542 0.6541
0.7500 0.7500 0.6669
0.3312 0.0234 0.9987
0.0234 0.1688 0.9987
0.4766 0.3312 0.9987
0.1688 0.4766 0.9987
0.5535 0.1533 0.2996
0.9465 0.3467 0.2996
0.3467 0.5535 0.2996
0.1533 0.9465 0.2996
0.7500 0.7500 0.3135
0.2500 0.2500 0.6865
0.8467 0.0535 0.7004
0.6533 0.4465 0.7004
0.0535 0.6533 0.7004
0.4465 0.8467 0.7004
```

---

No. 7
The following is a GGA-PBE calculation of Tb3Mg2CdInGa2 after structural relaxation, from OQMD via LeMat-Bulk.

Structure (POSCAR):
```
Tb3Mg2CdInGa2
1.0
-1.5500 3.2154 2.8220
1.9135 -4.1335 5.7609
4.7636 4.8040 -2.8573
Cd Ga In Mg Tb
1 2 1 2 3
direct
0.0000 0.7480 0.7480
0.0000 0.6674 0.3305
0.0000 0.3305 0.6674
0.5000 0.0040 0.0040
0.0000 0.9981 0.2473
0.0000 0.2473 0.9981
0.5000 0.4416 0.4416
0.5000 0.9997 0.5633
0.5000 0.5633 0.9997
```

---

No. 8
The following is a GGA-PBE calculation of Tm2TaTeO6 after structural relaxation, from OQMD via LeMat-Bulk.

Structure (POSCAR):
```
Tm2TaTeO6
1.0
-4.1056 0.4118 -3.3494
0.9994 -4.9319 -1.8315
-2.8078 -3.9824 9.1921
O Ta Te Tm
12 2 2 4
direct
0.8346 0.7765 0.1006
0.9657 0.2702 0.1229
0.3540 0.9046 0.1496
0.6460 0.4046 0.3504
0.0343 0.7702 0.3771
0.1654 0.2765 0.3994
0.8346 0.7235 0.6006
0.9657 0.2298 0.6229
0.3540 0.5954 0.6496
0.6460 0.0954 0.8504
0.0343 0.7298 0.8771
0.1654 0.2235 0.8994
0.0000 0.0000 0.0000
0.0000 0.5000 0.5000
0.5000 0.5000 0.0000
0.5000 0.0000 0.5000
0.2344 0.5663 0.2483
0.7656 0.0663 0.2517
0.2344 0.9337 0.7483
0.7656 0.4337 0.7517
```

---

Number 1: E -5.856 eV/atom. Number 2: E -4.220 eV/atom. Number 3: E -3.791 eV/atom. Number 4: E -7.141 eV/atom. Number 5: E -7.215 eV/atom. Number 6: E -6.763 eV/atom. Number 7: E -3.450 eV/atom. Number 8: E -8.080 eV/atom.